A plane-wave DFT calculation with PBE was carried out for a relaxed CaHg2PPt crystal.

E ... -2.660 eV per atom
Energy of formation ... 0.152 eV/atom
SG ... P4/mmm, No. 123
Total magnetization ... 0.000 μB per atom

Geometry as CIF:
```
data_CaHg2PPt
_space_group_name_H-M_alt 'P 1'
_space_group_IT_number 1
_cell_length_a 4.9210
_cell_length_b 4.9210
_cell_length_c 5.4815
_cell_angle_alpha 90.00
_cell_angle_beta 90.00
_cell_angle_gamma 90.00
loop_
_space_group_symop_operation_xyz
'x,y,z'
loop_
_atom_site_label
_atom_site_fract_x
_atom_site_fract_y
_atom_site_fract_z
Ca1 0.0000 0.0000 0.0000
Hg1 0.0000 0.5000 0.5000
Hg2 0.5000 0.0000 0.5000
P1 0.0000 0.0000 0.5000
Pt1 0.5000 0.5000 0.0000
```

A plane-wave DFT calculation with PBE was carried out for a relaxed RbCaHg2P crystal.

E ... -1.924 eV per atom
Energy of formation ... -0.127 eV/atom
SG ... P4/mmm, No. 123
Total magnetization ... 0.000 μB per atom

Geometry as CIF:
```
data_RbCaHg2P
_space_group_name_H-M_alt 'P 1'
_space_group_IT_number 1
_cell_length_a 6.0643
_cell_length_b 6.0643
_cell_length_c 5.3727
_cell_angle_alpha 90.00
_cell_angle_beta 90.00
_cell_angle_gamma 90.00
loop_
_space_group_symop_operation_xyz
'x,y,z'
loop_
_atom_site_label
_atom_site_fract_x
_atom_site_fract_y
_atom_site_fract_z
Rb1 0.0000 0.0000 0.0000
Ca1 0.5000 0.5000 0.5000
Hg1 0.0000 0.5000 0.5000
Hg2 0.5000 0.0000 0.5000
P1 0.5000 0.5000 0.0000
```

A plane-wave DFT calculation with PBE was carried out for a relaxed Rb2CaHgP crystal.

E ... -2.179 eV per atom
Energy of formation ... -0.250 eV/atom
SG ... P4/mmm, No. 123
Total magnetization ... 0.000 μB per atom

Geometry as CIF:
```
data_Rb2CaHgP
_space_group_name_H-M_alt 'P 1'
_space_group_IT_number 1
_cell_length_a 6.7569
_cell_length_b 6.7569
_cell_length_c 5.4453
_cell_angle_alpha 90.00
_cell_angle_beta 90.00
_cell_angle_gamma 90.00
loop_
_space_group_symop_operation_xyz
'x,y,z'
loop_
_atom_site_label
_atom_site_fract_x
_atom_site_fract_y
_atom_site_fract_z
Rb1 0.0000 0.5000 0.0000
Rb2 0.5000 0.0000 0.0000
Ca1 0.0000 0.0000 0.5000
Hg1 0.5000 0.5000 0.5000
P1 0.0000 0.0000 0.0000
```

A plane-wave DFT calculation with PBE was carried out for a relaxed CaHgP2S crystal.

E ... -3.049 eV per atom
SG ... P4/mmm, No. 123
Raw formation energy ... 0.4012 eV per atom
Total magnetization ... 0.000 μB per atom

Geometry as CIF:
```
data_CaHgP2S
_space_group_name_H-M_alt 'P 1'
_space_group_IT_number 1
_cell_length_a 4.9530
_cell_length_b 4.9530
_cell_length_c 5.2182
_cell_angle_alpha 90.00
_cell_angle_beta 90.00
_cell_angle_gamma 90.00
loop_
_space_group_symop_operation_xyz
'x,y,z'
loop_
_atom_site_label
_atom_site_fract_x
_atom_site_fract_y
_atom_site_fract_z
Ca1 0.0000 0.0000 0.0000
Hg1 0.5000 0.5000 0.5000
P1 0.0000 0.5000 0.5000
P2 0.5000 0.0000 0.5000
S1 0.5000 0.5000 0.0000
```